DFT (PBE) results for a relaxed structure of DyYTmCd.

Results
Distance to the lowest polymorph of the same formula ... 0.0 kJ/mol of formula units
DFT formation energy ... -0.144 eV per atom
Symmetry ... P4mm
Calculated total energy ... -4.2575 eV per atom

Structure (POSCAR):
```
DyYTmCd
1.0
3.574 0.000 0.000
0.000 3.574 0.000
0.000 0.000 9.024
Dy Y Tm Cd
1 1 1 1
Direct
0.000 0.000 0.000
0.000 0.000 0.460
0.500 0.500 0.732
0.500 0.500 0.229
```

---

DFT (PBE) results for a relaxed structure of Cr2InPt.

Results
DFT formation energy ... 0.415 eV per atom
Symmetry ... R-3m
Calculated total energy ... -6.5914 eV per atom

Structure (POSCAR):
```
Cr2InPt
1.0
2.818 0.000 0.000
-1.409 2.441 0.000
0.000 0.000 26.821
Cr In Pt
6 3 3
Direct
0.000 0.000 0.246
0.000 0.000 0.754
0.333 0.667 0.420
0.333 0.667 0.913
0.667 0.333 0.087
0.667 0.333 0.580
0.000 0.000 0.000
0.333 0.667 0.667
0.667 0.333 0.333
0.000 0.000 0.500
0.333 0.667 0.167
0.667 0.333 0.833
```

---

DFT (PBE) results for a relaxed structure of LaEr9Tm2.

Results
DFT formation energy ... 0.033 eV per atom
Symmetry ... P6/mmm
Calculated total energy ... -4.5451 eV per atom

Structure (POSCAR):
```
LaEr9Tm2
1.0
11.143 0.000 0.000
-5.571 9.650 0.000
0.000 0.000 3.499
La Er Tm
1 9 2
Direct
0.000 0.000 0.000
0.000 0.500 0.000
0.180 0.360 0.500
0.180 0.820 0.500
0.360 0.180 0.500
0.500 0.000 0.000
0.500 0.500 0.000
0.640 0.820 0.500
0.820 0.180 0.500
0.820 0.640 0.500
0.333 0.667 0.000
0.667 0.333 0.000
```

---

DFT (PBE) results for a relaxed structure of PrErAlNi.

Results
DFT formation energy ... -0.242 eV per atom
Symmetry ... F-43m
Calculated total energy ... -4.9586 eV per atom

Structure (POSCAR):
```
PrErAlNi
1.0
7.155 0.000 0.000
0.000 7.155 0.000
0.000 0.000 7.155
Pr Er Al Ni
4 4 4 4
Direct
0.000 0.000 0.000
0.000 0.500 0.500
0.500 0.000 0.500
0.500 0.500 0.000
0.000 0.000 0.500
0.000 0.500 0.000
0.500 0.000 0.000
0.500 0.500 0.500
0.250 0.250 0.750
0.250 0.750 0.250
0.750 0.250 0.250
0.750 0.750 0.750
0.250 0.250 0.250
0.250 0.750 0.750
0.750 0.250 0.750
0.750 0.750 0.250
```